Entry from the Alexandria database: a relaxed RbLi2AgSb crystal (GGA-PBE).

abc: 5.3213 5.3213 5.5969
angles: 90.00 90.00 90.00
Element x y z (fractional)
Sb 0.0000 0.0000 0.0000
Rb 0.5000 0.5000 0.5000
Ag 0.0000 0.0000 0.5000
Li 0.0000 0.5000 0.0000
Li 0.5000 0.0000 0.0000

Summary:
Formation energy from raw total energies in kcal/mol of atoms: -4.58
E_tot in eV/atom: -2.55